--- one ---
First-principles (PBE) data for a relaxed structure of BSe, as listed in the Alexandria database.

Properties
* M_tot: 0.00 Bohr magnetons per cell

Cell lengths 6.725, 6.725, 6.725 Å; angles 90.00, 90.00, 90.00 degrees
Space group I-43m (No. 217)
Symmetry-distinct sites (fractional):
B1 0.155 0.155 0.155
Se1 0.169 0.169 0.831



--- two ---
First-principles (PBE) data for a relaxed structure of BSe, as listed in the Alexandria database.

Properties
* M_tot: 0.00 Bohr magnetons per cell

Cell lengths 3.7601, 3.7601, 4.8978 Å; angles 90.00, 90.00, 120.00 degrees
Space group P6_3mc (No. 186)
Symmetry-distinct sites (fractional):
B1 0.3333 0.6667 0.0000
Se1 0.3333 0.6667 0.4265



--- three ---
First-principles (PBE) data for a relaxed structure of BSe, as listed in the Alexandria database.

Properties
* M_tot: 0.00 Bohr magnetons per cell

Cell lengths 9.417, 9.417, 3.675 Å; angles 90.00, 90.00, 90.00 degrees
Space group P4/m (No. 83)
Symmetry-distinct sites (fractional):
B1 0.076 0.368 0.000
B2 0.172 0.700 0.500
Se1 0.108 0.259 0.500
Se2 0.143 0.598 0.000



--- four ---
First-principles (PBE) data for a relaxed structure of BSe, as listed in the Alexandria database.

Properties
* M_tot: 0.00 Bohr magnetons per cell

Cell lengths 5.002, 5.070, 5.470 Å; angles 87.54, 84.03, 65.85 degrees
Space group P-1 (No. 2)
Symmetry-distinct sites (fractional):
B1 0.119 0.381 0.119
Se1 0.227 0.286 0.778



It turns out two is the most stable, with the second structure 75 meV/atom higher.



--- one ---
First-principles (PBE) data for a relaxed structure of SiBSe2, as listed in the Alexandria database.

Properties
* M_tot: 0.00 Bohr magnetons per cell

Cell lengths 6.353, 6.353, 6.353 Å; angles 90.00, 90.00, 90.00 degrees
Space group Fm-3m (No. 225)
Symmetry-distinct sites (fractional):
Si1 0.000 0.000 0.000
B1 0.000 0.000 0.500
Se1 0.250 0.250 0.250



--- two ---
First-principles (PBE) data for a relaxed structure of SiBSe2, as listed in the Alexandria database.

Properties
* M_tot: 0.00 Bohr magnetons per cell

Cell lengths 3.2030, 3.2030, 24.0481 Å; angles 90.00, 90.00, 120.00 degrees
Space group R-3m (No. 166, hexagonal axes)
Symmetry-distinct sites (fractional):
Si1 0.0000 0.0000 0.0000
B1 0.0000 0.0000 0.5000
Se1 0.0000 0.0000 0.1124



It turns out two is the most stable, with the second structure 480 meV/atom higher.



--- one ---
First-principles (PBE) data for a relaxed structure of SiBSe3, as listed in the Alexandria database.

Properties
* M_tot: 0.00 Bohr magnetons per cell

Cell lengths 4.473, 4.473, 4.473 Å; angles 90.00, 90.00, 90.00 degrees
Space group Pm-3m (No. 221)
Symmetry-distinct sites (fractional):
Si1 0.000 0.000 0.000
B1 0.500 0.500 0.500
Se1 0.000 0.500 0.500



--- two ---
First-principles (PBE) data for a relaxed structure of SiBSe3, as listed in the Alexandria database.

Properties
* M_tot: 0.00 Bohr magnetons per cell

Cell lengths 4.825, 4.825, 4.825 Å; angles 90.00, 90.00, 90.00 degrees
Space group Pm-3m (No. 221)
Symmetry-distinct sites (fractional):
Si1 0.000 0.000 0.000
B1 0.500 0.500 0.500
Se1 0.000 0.000 0.500



It turns out one is the most stable, with the second structure 388 meV/atom higher.



--- one ---
First-principles (PBE) data for a relaxed structure of SnB3Se, as listed in the Alexandria database.

Properties
* M_tot: 0.00 Bohr magnetons per cell

Cell lengths 4.538, 4.538, 4.538 Å; angles 90.00, 90.00, 90.00 degrees
Space group Pm-3m (No. 221)
Symmetry-distinct sites (fractional):
Sn1 0.000 0.000 0.000
B1 0.000 0.000 0.500
Se1 0.500 0.500 0.500



--- two ---
First-principles (PBE) data for a relaxed structure of SnB3Se, as listed in the Alexandria database.

Properties
* M_tot: 0.00 Bohr magnetons per cell

Cell lengths 4.191, 4.191, 4.191 Å; angles 90.00, 90.00, 90.00 degrees
Space group Pm-3m (No. 221)
Symmetry-distinct sites (fractional):
Sn1 0.000 0.000 0.000
B1 0.000 0.500 0.500
Se1 0.500 0.500 0.500



It turns out two is the most stable, with the second structure 269 meV/atom higher.



--- one ---
First-principles (PBE) data for a relaxed structure of SrB3Se, as listed in the Alexandria database.

Properties
* M_tot: 0.00 Bohr magnetons per cell

Cell lengths 4.330, 4.330, 4.330 Å; angles 90.00, 90.00, 90.00 degrees
Space group Pm-3m (No. 221)
Symmetry-distinct sites (fractional):
Sr1 0.000 0.000 0.000
B1 0.000 0.500 0.500
Se1 0.500 0.500 0.500



--- two ---
First-principles (PBE) data for a relaxed structure of SrB3Se, as listed in the Alexandria database.

Properties
* M_tot: 0.00 Bohr magnetons per cell

Cell lengths 5.050, 5.050, 5.050 Å; angles 90.00, 90.00, 90.00 degrees
Space group Pm-3m (No. 221)
Symmetry-distinct sites (fractional):
Sr1 0.000 0.000 0.000
B1 0.000 0.000 0.500
Se1 0.500 0.500 0.500



It turns out one is the most stable, with the second structure 1294 meV/atom higher.



--- one ---
First-principles (PBE) data for a relaxed structure of TaBSe3, as listed in the Alexandria database.

Properties
* M_tot: 0.00 Bohr magnetons per cell

Cell lengths 4.395, 4.395, 4.395 Å; angles 90.00, 90.00, 90.00 degrees
Space group Pm-3m (No. 221)
Symmetry-distinct sites (fractional):
Ta1 0.000 0.000 0.000
B1 0.500 0.500 0.500
Se1 0.000 0.500 0.500



--- two ---
First-principles (PBE) data for a relaxed structure of TaBSe3, as listed in the Alexandria database.

Properties
* M_tot: 0.00 Bohr magnetons per cell

Cell lengths 5.032, 5.032, 5.032 Å; angles 90.00, 90.00, 90.00 degrees
Space group Pm-3m (No. 221)
Symmetry-distinct sites (fractional):
Ta1 0.000 0.000 0.000
B1 0.500 0.500 0.500
Se1 0.000 0.000 0.500



It turns out two is the most stable, with the second structure 12 meV/atom higher.



--- one ---
First-principles (PBE) data for a relaxed structure of TcB3Se, as listed in the Alexandria database.

Properties
* M_tot: 0.00 Bohr magnetons per cell

Cell lengths 3.988, 3.988, 3.988 Å; angles 90.00, 90.00, 90.00 degrees
Space group Pm-3m (No. 221)
Symmetry-distinct sites (fractional):
Tc1 0.000 0.000 0.000
B1 0.000 0.500 0.500
Se1 0.500 0.500 0.500



--- two ---
First-principles (PBE) data for a relaxed structure of TcB3Se, as listed in the Alexandria database.

Properties
* M_tot: 0.00 Bohr magnetons per cell

Cell lengths 4.173, 4.173, 4.173 Å; angles 90.00, 90.00, 90.00 degrees
Space group Pm-3m (No. 221)
Symmetry-distinct sites (fractional):
Tc1 0.000 0.000 0.000
B1 0.000 0.000 0.500
Se1 0.500 0.500 0.500



It turns out two is the most stable, with the second structure 778 meV/atom higher.



--- one ---
First-principles (PBE) data for a relaxed structure of BTeSe2, as listed in the Alexandria database.

Properties
* M_tot: 0.00 Bohr magnetons per cell

Cell lengths 6.833, 6.833, 6.833 Å; angles 90.00, 90.00, 90.00 degrees
Space group Fm-3m (No. 225)
Symmetry-distinct sites (fractional):
B1 0.000 0.000 0.000
Te1 0.000 0.000 0.500
Se1 0.250 0.250 0.250



--- two ---
First-principles (PBE) data for a relaxed structure of BTeSe2, as listed in the Alexandria database.

Properties
* M_tot: 0.00 Bohr magnetons per cell

Cell lengths 5.1668, 5.1668, 17.9092 Å; angles 90.00, 90.00, 120.00 degrees
Space group R-3m (No. 166, hexagonal axes)
Symmetry-distinct sites (fractional):
B1 0.0000 0.0000 0.0000
Te1 0.0000 0.0000 0.5000
Se1 0.0000 0.0000 0.1017



It turns out two is the most stable, with the second structure 698 meV/atom higher.